# 1
Crystalline TeSeCl2 at its relaxed geometry, computed with PBE.

a = 3.1648 Å, b = 4.4890 Å, c = 6.2462 Å
α = 90.00°, β = 90.00°, γ = 90.00°
Sites, in units of the cell vectors:
Te (0.5000, 0.5000, 0.7500)
Se (0.5000, 0.5000, 0.2500)
Cl (0.0000, 0.0000, 0.9928)
Cl (0.0000, 0.0000, 0.5072)

Properties
DFT total energy: -2.191 eV/atom
ΔE to the lowest computed polymorph: 0.701 eV per atom

---

# 2
Crystalline Te3SeCl at its relaxed geometry, computed with PBE.

a = 5.3706 Å, b = 5.3706 Å, c = 5.3706 Å
α = 90.00°, β = 90.00°, γ = 90.00°
Sites, in units of the cell vectors:
Te (0.0000, 0.5000, 0.0000)
Te (0.0000, 0.0000, 0.5000)
Te (0.5000, 0.0000, 0.0000)
Se (0.5000, 0.5000, 0.5000)
Cl (0.0000, 0.0000, 0.0000)

Properties
DFT total energy: -2.003 eV/atom
ΔE to the lowest computed polymorph: 0.818 eV per atom

---

# 3
Crystalline TeSeCl2 at its relaxed geometry, computed with PBE.

a = 4.4178 Å, b = 4.4178 Å, c = 4.5209 Å
α = 90.00°, β = 90.00°, γ = 90.00°
Sites, in units of the cell vectors:
Te (0.0000, 0.5000, 0.5000)
Se (0.5000, 0.0000, 0.5000)
Cl (0.0000, 0.0000, 0.0000)
Cl (0.5000, 0.5000, 0.0000)

Properties
DFT total energy: -2.205 eV/atom
ΔE to the lowest computed polymorph: 0.687 eV per atom

---

# 4
Crystalline Te4Se5Cl2 at its relaxed geometry, computed with PBE.

a = 7.3207 Å, b = 11.0092 Å, c = 8.1226 Å
α = 48.20°, β = 62.83°, γ = 86.03°
Sites, in units of the cell vectors:
Te (0.4758, 0.6171, 0.7712)
Te (0.5242, 0.3829, 0.2288)
Te (0.7825, 0.2027, 0.4854)
Te (0.2175, 0.7973, 0.5146)
Se (0.8004, 0.6682, 0.0123)
Se (0.1996, 0.3318, 0.9877)
Se (0.5000, 0.0000, 0.0000)
Se (0.1408, 0.5081, 0.6388)
Se (0.8592, 0.4919, 0.3612)
Cl (0.7566, 0.9261, 0.5018)
Cl (0.2434, 0.0739, 0.4982)

Properties
DFT total energy: -3.076 eV/atom